Record 1
# PBE Ag3Au, optimized geometry
data_Ag3Au
_symmetry_space_group_name_H-M 'P 1'
_symmetry_Int_Tables_number 1
_symmetry_space_group_name_Hall 'P 1'
_cell_length_a 5.0966
_cell_length_b 5.0966
_cell_length_c 2.9187
_cell_angle_alpha 90.00
_cell_angle_beta 90.00
_cell_angle_gamma 108.84
loop_
_atom_site_label
_atom_site_fract_x
_atom_site_fract_y
_atom_site_fract_z
Ag1 0.0000 0.0000 0.0000
Ag2 0.0000 0.5000 0.5000
Ag3 0.5000 0.0000 0.5000
Au1 0.5000 0.5000 0.0000
# - formation energy (eV per atom) = -0.02
# - SG = Cmmm, No. 65
# - M_tot (Bohr magnetons per cell) = 0.0
# - uncorrected energy (eV/atom) = -2.981

Record 2
# PBE Ag3Au, optimized geometry
data_Ag3Au
_symmetry_space_group_name_H-M 'P 1'
_symmetry_Int_Tables_number 1
_symmetry_space_group_name_Hall 'P 1'
_cell_length_a 2.9144
_cell_length_b 4.1497
_cell_length_c 5.9187
_cell_angle_alpha 90.00
_cell_angle_beta 93.05
_cell_angle_gamma 90.00
loop_
_atom_site_label
_atom_site_fract_x
_atom_site_fract_y
_atom_site_fract_z
Ag1 0.0000 0.0000 0.0000
Ag2 0.4999 0.5000 0.2489
Ag3 0.5001 0.5000 0.7511
Au1 0.0000 0.0000 0.5000
# - formation energy (eV per atom) = -0.02
# - SG = P2/m, No. 10
# - M_tot (Bohr magnetons per cell) = 0.0
# - uncorrected energy (eV/atom) = -2.979

Record 3
# PBE Ag8Au3, optimized geometry
data_Ag8Au3
_symmetry_space_group_name_H-M 'P 1'
_symmetry_Int_Tables_number 1
_symmetry_space_group_name_Hall 'P 1'
_cell_length_a 6.1913
_cell_length_b 6.1913
_cell_length_c 6.1913
_cell_angle_alpha 94.23
_cell_angle_beta 94.23
_cell_angle_gamma 94.23
loop_
_atom_site_label
_atom_site_fract_x
_atom_site_fract_y
_atom_site_fract_z
Ag1 0.1467 0.1467 0.1467
Ag2 0.1861 0.4123 0.5857
Ag3 0.4123 0.5857 0.1861
Ag4 0.4143 0.8139 0.5877
Ag5 0.5857 0.1861 0.4123
Ag6 0.5877 0.4143 0.8139
Ag7 0.8139 0.5877 0.4143
Ag8 0.8533 0.8533 0.8533
Au1 0.0000 0.0000 0.5000
Au2 0.0000 0.5000 0.0000
Au3 0.5000 0.0000 0.0000
# - formation energy (eV per atom) = 0.31
# - ΔE to the lowest computed polymorph (meV/atom) = 341
# - SG = R-3, No. 148
# - M_tot (Bohr magnetons per cell) = 0.0
# - uncorrected energy (eV/atom) = -2.655